# ReTeSe | OQMD | PBE-GGA | relaxed
data_ReTeSe
_chemical_formula_sum 'Re4 Te4 Se4'
_space_group_name_H-M_alt 'P 1'
_space_group_IT_number 1
_cell_length_a 6.8460
_cell_length_b 7.0205
_cell_length_c 7.6652
_cell_angle_alpha 72.66
_cell_angle_beta 77.66
_cell_angle_gamma 60.97
loop_
_space_group_symop_operation_xyz
'x,y,z'
loop_
_atom_site_label
_atom_site_type_symbol
_atom_site_fract_x
_atom_site_fract_y
_atom_site_fract_z
_atom_site_occupancy
Re1 Re 0.9887 0.7020 0.4976 1
Te1 Te 0.1611 0.8529 0.6936 1
Se1 Se 0.6619 0.3320 0.7203 1
Te2 Te 0.1159 0.3589 0.7906 1
Te3 Te 0.8389 0.1471 0.3064 1
Se2 Se 0.3713 0.1156 0.3132 1
Se3 Se 0.3381 0.6680 0.2797 1
Se4 Se 0.6287 0.8844 0.6868 1
Re2 Re 0.5716 0.6843 0.4914 1
Te4 Te 0.8841 0.6411 0.2094 1
Re3 Re 0.0113 0.2980 0.5024 1
Re4 Re 0.4284 0.3157 0.5086 1
# - Calculated total energy: -6.57 eV per atom
# - Crystal system: triclinic
# - Magnetic moment: 0.001 μB/cell

***

# GaCuBr4 | OQMD | PBE-GGA | relaxed
data_GaCuBr4
_chemical_formula_sum 'Ga2 Cu2 Br8'
_space_group_name_H-M_alt 'P 1'
_space_group_IT_number 1
_cell_length_a 5.8829
_cell_length_b 5.8829
_cell_length_c 10.7270
_cell_angle_alpha 90.00
_cell_angle_beta 90.00
_cell_angle_gamma 90.00
loop_
_space_group_symop_operation_xyz
'x,y,z'
loop_
_atom_site_label
_atom_site_type_symbol
_atom_site_fract_x
_atom_site_fract_y
_atom_site_fract_z
_atom_site_occupancy
Ga1 Ga 0.5000 0.0000 0.7500 1
Ga2 Ga 0.0000 0.5000 0.2500 1
Br1 Br 0.7632 0.2649 0.3763 1
Cu1 Cu 0.0000 0.0000 0.5000 1
Br2 Br 0.7351 0.2368 0.8763 1
Br3 Br 0.2368 0.7351 0.3763 1
Br4 Br 0.2368 0.2649 0.1237 1
Br5 Br 0.2649 0.2368 0.6237 1
Br6 Br 0.7632 0.7351 0.1237 1
Cu2 Cu 0.0000 0.0000 0.0000 1
Br7 Br 0.2649 0.7632 0.8763 1
Br8 Br 0.7351 0.7632 0.6237 1
# - Calculated total energy: -2.89 eV per atom
# - Crystal system: tetragonal

***

# Tb3In3Ag2Pt | OQMD | PBE-GGA | relaxed
data_Tb3In3Ag2Pt
_chemical_formula_sum 'Tb3 In3 Ag2 Pt1'
_space_group_name_H-M_alt 'P 1'
_space_group_IT_number 1
_cell_length_a 7.7274
_cell_length_b 7.7274
_cell_length_c 3.9865
_cell_angle_alpha 90.00
_cell_angle_beta 90.00
_cell_angle_gamma 120.00
loop_
_space_group_symop_operation_xyz
'x,y,z'
loop_
_atom_site_label
_atom_site_type_symbol
_atom_site_fract_x
_atom_site_fract_y
_atom_site_fract_z
_atom_site_occupancy
Tb1 Tb 0.6022 0.0000 0.0000 1
Tb2 Tb 0.0000 0.6022 0.0000 1
In1 In 0.2572 0.0000 0.5000 1
Ag1 Ag 0.6667 0.3333 0.5000 1
Tb3 Tb 0.3978 0.3978 0.0000 1
Pt1 Pt 0.0000 0.0000 0.0000 1
In2 In 0.7428 0.7428 0.5000 1
Ag2 Ag 0.3333 0.6667 0.5000 1
In3 In 0.0000 0.2572 0.5000 1
# - Calculated total energy: -4.35 eV per atom
# - Crystal system: hexagonal
# - Magnetic moment: 0.012 μB/cell

***

# Li2Fe3Os2 | OQMD | PBE-GGA | relaxed
data_Li2Fe3Os2
_chemical_formula_sum 'Li2 Fe3 Os2'
_space_group_name_H-M_alt 'P 1'
_space_group_IT_number 1
_cell_length_a 6.7562
_cell_length_b 6.7562
_cell_length_c 6.7562
_cell_angle_alpha 34.00
_cell_angle_beta 34.00
_cell_angle_gamma 34.00
loop_
_space_group_symop_operation_xyz
'x,y,z'
loop_
_atom_site_label
_atom_site_type_symbol
_atom_site_fract_x
_atom_site_fract_y
_atom_site_fract_z
_atom_site_occupancy
Li1 Li 0.2419 0.2419 0.2419 1
Fe1 Fe 0.8766 0.8766 0.8766 1
Li2 Li 0.7549 0.7549 0.7549 1
Os1 Os 0.0030 0.0030 0.0030 1
Fe2 Fe 0.6265 0.6265 0.6265 1
Fe3 Fe 0.3756 0.3756 0.3756 1
Os2 Os 0.4963 0.4963 0.4963 1
# - Calculated total energy: -6.91 eV per atom
# - Crystal system: trigonal
# - Magnetic moment: 0.270 μB/cell

***

# Pr2Y2CI2Cl3 | OQMD | PBE-GGA | relaxed
data_Pr2Y2CI2Cl3
_chemical_formula_sum 'Pr2 Y2 C1 I2 Cl3'
_space_group_name_H-M_alt 'P 1'
_space_group_IT_number 1
_cell_length_a 9.5800
_cell_length_b 9.5800
_cell_length_c 8.1911
_cell_angle_alpha 102.46
_cell_angle_beta 102.46
_cell_angle_gamma 23.73
loop_
_space_group_symop_operation_xyz
'x,y,z'
loop_
_atom_site_label
_atom_site_type_symbol
_atom_site_fract_x
_atom_site_fract_y
_atom_site_fract_z
_atom_site_occupancy
Pr1 Pr 0.9993 0.9993 0.7842 1
I1 I 0.1744 0.1744 0.8158 1
Cl1 Cl 0.1582 0.1582 0.3112 1
I2 I 0.8256 0.8256 0.1842 1
Y1 Y 0.3677 0.3677 0.9275 1
Cl2 Cl 0.8418 0.8418 0.6888 1
Y2 Y 0.6323 0.6323 0.0725 1
C1 C 0.5000 0.5000 0.0000 1
Cl3 Cl 0.5000 0.5000 0.5000 1
Pr2 Pr 0.0007 0.0007 0.2158 1
# - Calculated total energy: -5.49 eV per atom
# - Crystal system: monoclinic
# - Magnetic moment: 0.006 μB/cell

***

# Dy3ClO4 | OQMD | PBE-GGA | relaxed
data_Dy3ClO4
_chemical_formula_sum 'Dy3 Cl1 O4'
_space_group_name_H-M_alt 'P 1'
_space_group_IT_number 1
_cell_length_a 3.8658
_cell_length_b 3.8658
_cell_length_c 8.8254
_cell_angle_alpha 90.00
_cell_angle_beta 90.00
_cell_angle_gamma 90.00
loop_
_space_group_symop_operation_xyz
'x,y,z'
loop_
_atom_site_label
_atom_site_type_symbol
_atom_site_fract_x
_atom_site_fract_y
_atom_site_fract_z
_atom_site_occupancy
Cl1 Cl 0.0000 0.0000 0.5000 1
O1 O 0.0000 0.5000 0.8436 1
Dy1 Dy 0.5000 0.5000 0.2630 1
O2 O 0.5000 0.0000 0.8436 1
Dy2 Dy 0.5000 0.5000 0.7370 1
Dy3 Dy 0.0000 0.0000 0.0000 1
O3 O 0.5000 0.0000 0.1564 1
O4 O 0.0000 0.5000 0.1564 1
# - Calculated total energy: -7.68 eV per atom
# - Crystal system: tetragonal
# - Magnetic moment: 0.004 μB/cell

***

# LuZnNiGe | OQMD | PBE-GGA | relaxed
data_LuZnNiGe
_chemical_formula_sum 'Lu1 Zn1 Ni1 Ge1'
_space_group_name_H-M_alt 'P 1'
_space_group_IT_number 1
_cell_length_a 4.5310
_cell_length_b 4.5310
_cell_length_c 4.5310
_cell_angle_alpha 60.00
_cell_angle_beta 60.00
_cell_angle_gamma 60.00
loop_
_space_group_symop_operation_xyz
'x,y,z'
loop_
_atom_site_label
_atom_site_type_symbol
_atom_site_fract_x
_atom_site_fract_y
_atom_site_fract_z
_atom_site_occupancy
Ni1 Ni 0.7500 0.7500 0.7500 1
Ge1 Ge 0.0000 0.0000 0.0000 1
Zn1 Zn 0.5000 0.5000 0.5000 1
Lu1 Lu 0.2500 0.2500 0.2500 1
# - Calculated total energy: -4.30 eV per atom
# - Crystal system: cubic
# - Magnetic moment: 0.016 μB/cell

***

# Tc2HgO4 | OQMD | PBE-GGA | relaxed
data_Tc2HgO4
_chemical_formula_sum 'Tc4 Hg2 O8'
_space_group_name_H-M_alt 'P 1'
_space_group_IT_number 1
_cell_length_a 6.4115
_cell_length_b 6.4115
_cell_length_c 6.4115
_cell_angle_alpha 119.99
_cell_angle_beta 90.02
_cell_angle_gamma 119.99
loop_
_space_group_symop_operation_xyz
'x,y,z'
loop_
_atom_site_label
_atom_site_type_symbol
_atom_site_fract_x
_atom_site_fract_y
_atom_site_fract_z
_atom_site_occupancy
Tc1 Tc 0.8750 0.2500 0.6250 1
Tc2 Tc 0.3750 0.7500 0.6250 1
O1 O 0.6026 0.2053 0.3973 1
O2 O 0.1474 0.2947 0.8527 1
Tc3 Tc 0.3750 0.2500 0.6250 1
Tc4 Tc 0.3750 0.7500 0.1250 1
O3 O 0.1919 0.7947 0.3973 1
O4 O 0.1473 0.2947 0.4419 1
O5 O 0.5581 0.7053 0.8527 1
Hg1 Hg 0.7500 0.5000 0.2500 1
O6 O 0.1473 0.7053 0.8526 1
O7 O 0.6027 0.7947 0.3974 1
O8 O 0.6027 0.2053 0.8081 1
Hg2 Hg 0.0000 0.0000 0.0000 1
# - Calculated total energy: -6.58 eV per atom
# - Crystal system: cubic
# - Magnetic moment: 8.163 μB/cell

***

# Rb2Re2O5 | OQMD | PBE-GGA | relaxed
data_Rb2Re2O5
_chemical_formula_sum 'Rb2 Re2 O5'
_space_group_name_H-M_alt 'P 1'
_space_group_IT_number 1
_cell_length_a 8.7922
_cell_length_b 3.8783
_cell_length_c 3.8783
_cell_angle_alpha 90.00
_cell_angle_beta 90.00
_cell_angle_gamma 90.00
loop_
_space_group_symop_operation_xyz
'x,y,z'
loop_
_atom_site_label
_atom_site_type_symbol
_atom_site_fract_x
_atom_site_fract_y
_atom_site_fract_z
_atom_site_occupancy
O1 O 0.7478 0.0000 0.5000 1
Re1 Re 0.7344 0.5000 0.5000 1
O2 O 0.5000 0.5000 0.5000 1
O3 O 0.2522 0.5000 0.0000 1
Re2 Re 0.2656 0.5000 0.5000 1
O4 O 0.2522 0.0000 0.5000 1
Rb1 Rb 0.0000 0.0000 0.0000 1
Rb2 Rb 0.5000 0.0000 0.0000 1
O5 O 0.7478 0.5000 0.0000 1
# - Calculated total energy: -6.99 eV per atom
# - Crystal system: tetragonal
# - Magnetic moment: 0.014 μB/cell

***

# LaGdAg | OQMD | PBE-GGA | relaxed
data_LaGdAg
_chemical_formula_sum 'La1 Gd1 Ag1'
_space_group_name_H-M_alt 'P 1'
_space_group_IT_number 1
_cell_length_a 5.0167
_cell_length_b 5.0167
_cell_length_c 5.0167
_cell_angle_alpha 60.00
_cell_angle_beta 60.00
_cell_angle_gamma 60.00
loop_
_space_group_symop_operation_xyz
'x,y,z'
loop_
_atom_site_label
_atom_site_type_symbol
_atom_site_fract_x
_atom_site_fract_y
_atom_site_fract_z
_atom_site_occupancy
Ag1 Ag 0.2500 0.2500 0.2500 1
Gd1 Gd 0.0000 0.0000 0.0000 1
La1 La 0.7500 0.7500 0.7500 1
# - Crystal system: cubic
# - ΔE_f: 35.7 kJ per mole of atoms
# - Magnetic moment: 0.005 μB/cell

***

# RbBa3Pt | OQMD | PBE-GGA | relaxed
data_RbBa3Pt
_chemical_formula_sum 'Rb1 Ba3 Pt1'
_space_group_name_H-M_alt 'P 1'
_space_group_IT_number 1
_cell_length_a 6.4317
_cell_length_b 6.4317
_cell_length_c 6.4317
_cell_angle_alpha 90.00
_cell_angle_beta 90.00
_cell_angle_gamma 90.00
loop_
_space_group_symop_operation_xyz
'x,y,z'
loop_
_atom_site_label
_atom_site_type_symbol
_atom_site_fract_x
_atom_site_fract_y
_atom_site_fract_z
_atom_site_occupancy
Ba1 Ba 0.0000 0.0000 0.5000 1
Pt1 Pt 0.0000 0.0000 0.0000 1
Rb1 Rb 0.5000 0.5000 0.5000 1
Ba2 Ba 0.5000 0.0000 0.0000 1
Ba3 Ba 0.0000 0.5000 0.0000 1
# - Calculated total energy: -2.90 eV per atom
# - Crystal system: cubic
# - Magnetic moment: 0.001 μB/cell

***

# HfSiMo | OQMD | PBE-GGA | relaxed
data_HfSiMo
_chemical_formula_sum 'Hf2 Si2 Mo2'
_space_group_name_H-M_alt 'P 1'
_space_group_IT_number 1
_cell_length_a 4.4681
_cell_length_b 4.4681
_cell_length_c 5.7389
_cell_angle_alpha 90.00
_cell_angle_beta 90.00
_cell_angle_gamma 120.00
loop_
_space_group_symop_operation_xyz
'x,y,z'
loop_
_atom_site_label
_atom_site_type_symbol
_atom_site_fract_x
_atom_site_fract_y
_atom_site_fract_z
_atom_site_occupancy
Mo1 Mo 0.3333 0.6667 0.2500 1
Hf1 Hf 0.0000 0.0000 0.5000 1
Si1 Si 0.6667 0.3333 0.2500 1
Si2 Si 0.3333 0.6667 0.7500 1
Hf2 Hf 0.0000 0.0000 0.0000 1
Mo2 Mo 0.6667 0.3333 0.7500 1
# - Calculated total energy: -8.98 eV per atom
# - Crystal system: hexagonal
# - Magnetic moment: 1.563 μB/cell